# Sr3Li2Sb4Pb2

Sr3Li2Sb4Pb2 after structural relaxation (PBE, Alexandria via LeMat-Bulk).

The structure in CIF format:
```
data_Sr3Li2Sb4Pb2
_cell_length_a 4.7304
_cell_length_b 4.7304
_cell_length_c 18.4433
_cell_angle_alpha 90.00
_cell_angle_beta 90.00
_cell_angle_gamma 120.00
_space_group_name_H-M_alt 'P -3 m 1'
_space_group_IT_number 164
_space_group_name_Hall '-P 3 2"'
loop_
_atom_site_label
_atom_site_type_symbol
_atom_site_fract_x
_atom_site_fract_y
_atom_site_fract_z
_atom_site_occupancy
Sr1 Sr 0.0000 0.0000 0.0000 1
Sr2 Sr 0.0000 0.0000 0.2333 1
Li1 Li 0.3333 0.6667 0.1188 1
Sb1 Sb 0.3333 0.6667 0.3405 1
Sb2 Sb 0.3333 0.6667 0.8839 1
Pb1 Pb 0.3333 0.6667 0.5786 1
```

=====

# Cd2AgRh

Cd2AgRh after structural relaxation (PBE, Alexandria via LeMat-Bulk).

The structure in CIF format:
```
data_Cd2AgRh
_cell_length_a 4.281
_cell_length_b 4.281
_cell_length_c 3.889
_cell_angle_alpha 90.00
_cell_angle_beta 90.00
_cell_angle_gamma 90.00
_space_group_name_H-M_alt 'P 4/m m m'
_space_group_IT_number 123
_space_group_name_Hall '-P 4 2'
loop_
_atom_site_label
_atom_site_type_symbol
_atom_site_fract_x
_atom_site_fract_y
_atom_site_fract_z
_atom_site_occupancy
Cd1 Cd 0.000 0.500 0.000 1
Ag1 Ag 0.000 0.000 0.500 1
Rh1 Rh 0.500 0.500 0.500 1
```

## Properties
The formation energy is -108 meV per atom. As for the relative energy among the computed polymorphs: 0.000 eV per formula unit.

=====

Ordered energy results: -40.6, -12.5; unit eV/cell.